# 1
Computed, not measured: a geometry-optimized TiNbOs2 structure at the PBE level of DFT.

a b c (Å): 3.0978 3.0978 6.4574
angles (deg): 90.00 90.00 90.00
Closest atoms and distances in Å follow each position.
Space group P4/mmm (No. 123)
Inequivalent atoms, fractional coordinates:
Ti  0.0000  0.0000  0.0000 x1  8 Os 2.67
Nb  0.0000  0.0000  0.5000 x1  8 Os 2.78, 4 Nb 3.10
Os  0.5000  0.5000  0.2358 x2  4 Ti 2.67, 4 Nb 2.78

## Properties
- theoretical density (g cm⁻³) = 13.97
- energy relative to the elements (eV/atom) = -0.43

=====

# 2
Computed, not measured: a geometry-optimized Ti4NbOs3 structure at the PBE level of DFT.

a b c (Å): 3.0924 4.4423 8.9203
angles (deg): 90.00 90.00 90.00
Closest atoms and distances in Å follow each position.
Space group Pmmm (No. 47)
Inequivalent atoms, fractional coordinates:
Ti  0.0000  0.0000  0.0000 x1  8 Os 2.69-2.71
Ti  0.0000  0.0000  0.5000 x1  4 Nb 2.71, 4 Os 2.74
Ti  0.0000  0.5000  0.2401 x2  6 Os 2.64-2.71, 2 Nb 2.79
Nb  0.5000  0.5000  0.5000 x1  8 Ti 2.71-2.79
Os  0.5000  0.0000  0.2469 x2  8 Ti 2.69-2.74
Os  0.5000  0.5000  0.0000 x1  8 Ti 2.64-2.71

## Properties
- theoretical density (g cm⁻³) = 11.59
- energy relative to the elements (eV/atom) = -0.52

=====

# 3
Computed, not measured: a geometry-optimized TiNb2Os2 structure at the PBE level of DFT.

a b c (Å): 7.6412 7.6412 2.9689
angles (deg): 90.00 90.00 90.00
Closest atoms and distances in Å follow each position.
Space group P4/mbm (No. 127)
Inequivalent atoms, fractional coordinates:
Ti  0.0000  0.0000  0.0000 x2  4 Nb 2.91, 2 Ti 2.97
Nb  0.1500  0.3500  0.0000 x4  6 Os 2.63-2.73, 2 Ti 2.91
Os  0.1491  0.6491  0.5000 x4  6 Nb 2.63-2.73

## Properties
- theoretical density (g cm⁻³) = 11.77
- offset from the most stable computed form (meV per atom) = 64
- energy relative to the elements (eV/atom) = 0.05

=====

# 4
Computed, not measured: a geometry-optimized TiNb4Os structure at the PBE level of DFT.

a b c (Å): 3.2328 3.2328 9.8907
angles (deg): 90.00 90.00 90.00
Closest atoms and distances in Å follow each position.
Space group P4/mmm (No. 123)
Inequivalent atoms, fractional coordinates:
Ti  0.0000  0.0000  0.0000 x1  8 Nb 2.82
Nb  0.0000  0.0000  0.3385 x2  4 Os 2.79, 4 Nb 2.84
Nb  0.5000  0.5000  0.1675 x2  4 Ti 2.82, 4 Nb 2.84
Os  0.5000  0.5000  0.5000 x1  8 Nb 2.79

## Properties
- theoretical density (g cm⁻³) = 9.79
- offset from the most stable computed form (meV per atom) = 0
- energy relative to the elements (eV/atom) = -0.10

=====

# 5
Computed, not measured: a geometry-optimized TiNb2Os2 structure at the PBE level of DFT.

a b c (Å): 4.2903 4.2903 10.5828
angles (deg): 90.00 90.00 90.00
Closest atoms and distances in Å follow each position.
Space group I4/mmm (No. 139)
Inequivalent atoms, fractional coordinates:
Ti  0.0000  0.0000  0.0000 x2  8 Os 3.27, 8 Nb 3.41
Nb  0.0000  0.5000  0.2500 x4  4 Os 2.58
Os  0.0000  0.0000  0.3850 x4  1 Os 2.43, 4 Nb 2.58

## Properties
- theoretical density (g cm⁻³) = 10.47
- offset from the most stable computed form (meV per atom) = 200
- energy relative to the elements (eV/atom) = 0.19

=====

# 6
Computed, not measured: a geometry-optimized Ti5NbOs4 structure at the PBE level of DFT.

a b c (Å): 3.0902 3.0902 16.0263
angles (deg): 90.00 90.00 90.00
Closest atoms and distances in Å follow each position.
Space group P4/mmm (No. 123)
Inequivalent atoms, fractional coordinates:
Ti  0.0000  0.0000  0.0000 x1  8 Os 2.68
Ti  0.0000  0.0000  0.1934 x2  8 Os 2.68-2.69
Ti  0.0000  0.0000  0.3858 x2  4 Os 2.66, 4 Nb 2.85
Nb  0.5000  0.5000  0.5000 x1  8 Ti 2.85, 4 Nb 3.09
Os  0.5000  0.5000  0.0967 x2  8 Ti 2.68
Os  0.5000  0.5000  0.2908 x2  8 Ti 2.66-2.69

## Properties
- theoretical density (g cm⁻³) = 11.86
- energy relative to the elements (eV/atom) = -0.57

=====

# 7
Computed, not measured: a geometry-optimized Ti3NbOs structure at the PBE level of DFT.

a b c (Å): 4.6851 4.6851 4.6851
angles (deg): 90.00 90.00 90.00
Closest atoms and distances in Å follow each position.
Space group Pm-3m (No. 221)
Inequivalent atoms, fractional coordinates:
Ti  0.0000  0.0000  0.5000 x3  2 Os 2.34
Nb  0.5000  0.5000  0.5000 x1  12 Ti 3.31
Os  0.0000  0.0000  0.0000 x1  6 Ti 2.34

## Properties
- theoretical density (g cm⁻³) = 6.89
- offset from the most stable computed form (meV per atom) = 904
- energy relative to the elements (eV/atom) = 0.65

=====

# 8
Computed, not measured: a geometry-optimized TiNbOs2 structure at the PBE level of DFT.

a b c (Å): 2.7898 4.7895 9.9170
angles (deg): 90.00 90.00 90.00
Closest atoms and distances in Å follow each position.
Space group Immm (No. 71)
Inequivalent atoms, fractional coordinates:
Ti  0.0000  0.0000  0.0000 x2  2 Os 2.37
Nb  0.0000  0.0000  0.5000 x2  2 Os 2.58, 4 Ti 2.77, 2 Nb 2.79
Os  0.0000  0.0000  0.2395 x4  1 Ti 2.37, 1 Nb 2.58

## Properties
- theoretical density (g cm⁻³) = 13.06
- energy relative to the elements (eV/atom) = 0.56

=====

# 9
Computed, not measured: a geometry-optimized Ti4NbOs structure at the PBE level of DFT.

a b c (Å): 4.3219 4.3219 21.2902
angles (deg): 90.00 90.00 120.00
Closest atoms and distances in Å follow each position.
Space group R-3m (No. 166, hexagonal axes)
Inequivalent atoms, fractional coordinates:
Ti  0.0000  0.0000  0.1218 x6  1 Os 2.59, 3 Nb 2.67
Ti  0.0000  0.0000  0.3728 x6  3 Os 2.63, 1 Nb 2.71
Nb  0.0000  0.0000  0.5000 x3  8 Ti 2.67-2.71
Os  0.0000  0.0000  0.0000 x3  8 Ti 2.59-2.63

## Properties
- theoretical density (g cm⁻³) = 6.87
- offset from the most stable computed form (meV per atom) = 562
- energy relative to the elements (eV/atom) = 0.30

=====

# 10
Computed, not measured: a geometry-optimized TiNbOs4 structure at the PBE level of DFT.

a b c (Å): 7.2764 7.2764 7.2764
angles (deg): 90.00 90.00 90.00
Closest atoms and distances in Å follow each position.
Space group F-43m (No. 216)
Inequivalent atoms, fractional coordinates:
Ti  0.0000  0.0000  0.0000 x4  12 Os 3.02, 4 Nb 3.15
Nb  0.2500  0.2500  0.2500 x4  12 Os 3.02, 4 Ti 3.15
Os  0.1255  0.1255  0.6255 x16  6 Os 2.56-2.58

## Properties
- theoretical density (g cm⁻³) = 15.55
- energy relative to the elements (eV/atom) = -0.06

=====

# 11
Computed, not measured: a geometry-optimized Ti3NbOs structure at the PBE level of DFT.

a b c (Å): 4.5825 15.5178 4.5662
angles (deg): 90.00 90.00 90.00
Closest atoms and distances in Å follow each position.
Space group Cmcm (No. 63)
Inequivalent atoms, fractional coordinates:
Ti  0.0000  0.0561  0.2500 x4  2 Nb 2.65, 2 Os 2.73, 4 Ti 2.87-2.91
Ti  0.0000  0.2495  0.2500 x4  4 Os 2.75, 4 Nb 2.82-2.84, 2 Ti 2.97-3.00
Ti  0.0000  0.4409  0.2500 x4  2 Nb 2.63, 2 Os 2.69, 4 Ti 2.91-2.93
Nb  0.0000  0.1423  0.7500 x4  8 Ti 2.63-2.84
Os  0.0000  0.3488  0.7500 x4  8 Ti 2.69-2.75

## Properties
- theoretical density (g cm⁻³) = 8.73
- offset from the most stable computed form (meV per atom) = 0
- energy relative to the elements (eV/atom) = -0.25

=====

# 12
Computed, not measured: a geometry-optimized TiNb4Os structure at the PBE level of DFT.

a b c (Å): 4.7593 18.3442 5.3315
angles (deg): 90.00 90.00 90.00
Closest atoms and distances in Å follow each position.
Space group Cmc2_1 (No. 36)
Inequivalent atoms, fractional coordinates:
Ti  0.0000  0.1336  0.0000 x4  4 Nb 2.64-2.92
Nb  0.0000  0.1271  0.5052 x4  2 Ti 2.64-2.70, 2 Os 2.69
Nb  0.0000  0.2838  0.7023 x4  1 Os 2.56, 4 Nb 2.65-2.75
Nb  0.0000  0.2915  0.2061 x4  5 Nb 2.65-2.82
Nb  0.0000  0.4419  0.3179 x4  3 Os 2.56-2.75, 1 Nb 2.82
Os  0.0000  0.4185  0.8272 x4  6 Nb 2.56-2.75

## Properties
- theoretical density (g cm⁻³) = 8.70
- offset from the most stable computed form (meV per atom) = 392
- energy relative to the elements (eV/atom) = 0.30

=====

# 13
Computed, not measured: a geometry-optimized Ti5Nb2ZnOs2 structure at the PBE level of DFT.

a b c (Å): 10.5463 10.5463 3.0904
angles (deg): 90.00 90.00 90.00
Closest atoms and distances in Å follow each position.
Space group P4/mbm (No. 127)
Inequivalent atoms, fractional coordinates:
Ti  0.0000  0.5000  0.0000 x2  4 Os 2.59
Ti  0.0411  0.2009  0.0000 x8  2 Os 2.51, 2 Zn 2.66
Nb  0.1791  0.6791  0.5000 x4  1 Os 2.71
Zn  0.0000  0.0000  0.5000 x2  8 Ti 2.66
Os  0.1390  0.3610  0.5000 x4  6 Ti 2.51-2.59, 1 Nb 2.71

## Properties
- theoretical density (g cm⁻³) = 8.42
- energy relative to the elements (eV/atom) = -0.09

=====

# 14
Computed, not measured: a geometry-optimized Zr2Ti5NbOs2 structure at the PBE level of DFT.

a b c (Å): 10.7713 10.7713 3.1621
angles (deg): 90.00 90.00 90.00
Closest atoms and distances in Å follow each position.
Space group P4/mbm (No. 127)
Inequivalent atoms, fractional coordinates:
Zr  0.1779  0.3221  0.0000 x4  1 Os 2.88, 2 Ti 3.14, 2 Zr 3.16
Ti  0.0000  0.5000  0.5000 x2  4 Os 2.57
Ti  0.0548  0.7996  0.5000 x8  2 Os 2.54, 2 Nb 2.74
Nb  0.0000  0.0000  0.0000 x2  8 Ti 2.74
Os  0.1328  0.6328  0.0000 x4  6 Ti 2.54-2.57

## Properties
- theoretical density (g cm⁻³) = 8.10
- energy relative to the elements (eV/atom) = -0.12

=====

# 15
Computed, not measured: a geometry-optimized ZrTiNbOs structure at the PBE level of DFT.

a b c (Å): 6.5139 6.5139 6.5139
angles (deg): 90.00 90.00 90.00
Closest atoms and distances in Å follow each position.
Space group F-43m (No. 216)
Inequivalent atoms, fractional coordinates:
Zr  0.0000  0.0000  0.0000 x4  4 Os 2.82, 4 Nb 2.82
Ti  0.0000  0.0000  0.5000 x4  4 Nb 2.82, 4 Os 2.82
Nb  0.2500  0.2500  0.7500 x4  4 Zr 2.82, 4 Ti 2.82
Os  0.2500  0.2500  0.2500 x4  4 Ti 2.82, 4 Zr 2.82

## Properties
- theoretical density (g cm⁻³) = 10.15
- energy relative to the elements (eV/atom) = -0.21

=====

# 16
Computed, not measured: a geometry-optimized Nb2Tl2Os structure at the PBE level of DFT.

a b c (Å): 6.6413 6.6413 4.9123
angles (deg): 90.00 90.00 90.00
Closest atoms and distances in Å follow each position.
Space group P4/mbm (No. 127)
Inequivalent atoms, fractional coordinates:
Nb  0.1469  0.3531  0.0000 x4  2 Os 2.54, 1 Nb 2.76
Tl  0.1716  0.6716  0.5000 x4  6 Nb 2.99-3.25, 1 Tl 3.22
Os  0.0000  0.0000  0.0000 x2  4 Nb 2.54

## Properties
- theoretical density (g cm⁻³) = 12.03
- offset from the most stable computed form (meV per atom) = 0
- energy relative to the elements (eV/atom) = 0.60

=====

# 17
Computed, not measured: a geometry-optimized NbTl2Os structure at the PBE level of DFT.

a b c (Å): 7.7718 7.7718 5.6836
angles (deg): 90.00 90.00 90.00
Closest atoms and distances in Å follow each position.
Space group I-42d (No. 122)
Inequivalent atoms, fractional coordinates:
Nb  0.0000  0.0000  0.0000 x4  2 Os 2.84, 4 Tl 2.94
Tl  0.2313  0.2500  0.6250 x8  2 Os 2.74, 2 Tl 2.86, 2 Nb 2.94
Os  0.0000  0.0000  0.5000 x4  4 Tl 2.74, 2 Nb 2.84

## Properties
- theoretical density (g cm⁻³) = 13.39
- offset from the most stable computed form (meV per atom) = 221
- energy relative to the elements (eV/atom) = 1.11

=====

# 18
Computed, not measured: a geometry-optimized NbTlOs2 structure at the PBE level of DFT.

a b c (Å): 7.4821 7.4821 5.5554
angles (deg): 90.00 90.00 90.00
Closest atoms and distances in Å follow each position.
Space group I-42d (No. 122)
Inequivalent atoms, fractional coordinates:
Nb  0.0000  0.0000  0.0000 x4  4 Os 2.53, 2 Tl 2.78
Tl  0.0000  0.0000  0.5000 x4  2 Nb 2.78, 4 Os 2.96
Os  0.2073  0.2500  0.1250 x8  2 Nb 2.53

## Properties
- theoretical density (g cm⁻³) = 14.47
- offset from the most stable computed form (meV per atom) = 562
- energy relative to the elements (eV/atom) = 1.00

=====

# 19
Computed, not measured: a geometry-optimized Nb2Tl2Os structure at the PBE level of DFT.

a b c (Å): 3.8448 3.8448 14.8491
angles (deg): 90.00 90.00 90.00
Closest atoms and distances in Å follow each position.
Space group I4/mmm (No. 139)
Inequivalent atoms, fractional coordinates:
Nb  0.0000  0.0000  0.0804 x4  1 Nb 2.39
Tl  0.0000  0.5000  0.2500 x4  4 Tl 2.72
Os  0.0000  0.0000  0.5000 x2  8 Nb 2.97

## Properties
- theoretical density (g cm⁻³) = 11.87
- offset from the most stable computed form (meV per atom) = 452
- energy relative to the elements (eV/atom) = 1.06

=====

# 20
Computed, not measured: a geometry-optimized NbTlOs2 structure at the PBE level of DFT.

a b c (Å): 6.4782 6.4782 6.4782
angles (deg): 90.00 90.00 90.00
Closest atoms and distances in Å follow each position.
Space group Fm-3m (No. 225)
Inequivalent atoms, fractional coordinates:
Nb  0.0000  0.0000  0.0000 x4  8 Os 2.81
Tl  0.0000  0.0000  0.5000 x4  8 Os 2.81
Os  0.2500  0.2500  0.2500 x8  4 Nb 2.81, 4 Tl 2.81

## Properties
- theoretical density (g cm⁻³) = 16.56
- offset from the most stable computed form (meV per atom) = 0
- energy relative to the elements (eV/atom) = 0.44